Record 1
The following is a DFT calculation (PBE) of an optimized crystal structure of Ce3Mn.

Lattice parameters (Å, degrees): 4.6209 4.6209 4.6209 90.00 90.00 90.00
Last column: nearest neighbours and their distance in Å.
Sites, in units of the cell vectors:
Ce  0.0000  0.0000  0.5000  4 Mn 3.27, 8 Ce 3.27
Ce  0.0000  0.5000  0.0000  4 Mn 3.27, 8 Ce 3.27
Ce  0.5000  0.0000  0.0000  4 Mn 3.27, 8 Ce 3.27
Mn  0.5000  0.5000  0.5000  12 Ce 3.27

Calculated values
- symmetry = Pm-3m
- energy of formation from the pure elements (eV per atom) = 0.251

Record 2
The following is a DFT calculation (PBE) of an optimized crystal structure of TbYThSc.

Lattice parameters (Å, degrees): 3.4346 5.3534 6.7712 90.00 104.66 90.00
Last column: nearest neighbours and their distance in Å.
Sites, in units of the cell vectors:
Tb  0.0000  0.0000  0.0000  2 Y 3.18, 1 Sc 3.36, 2 Tb 3.43, 4 Th 3.55
Y  0.1329  0.5000  0.2626  2 Tb 3.18, 1 Th 3.26, 2 Y 3.43, 4 Sc 3.50
Th  0.3808  0.5000  0.7608  1 Y 3.26, 2 Th 3.43, 4 Tb 3.55, 4 Sc 3.65
Sc  0.7442  0.0000  0.4866  3 Tb 3.36-3.62, 2 Sc 3.43, 4 Y 3.50, 4 Th 3.65

Calculated values
- symmetry = Pm
- energy of formation from the pure elements (eV per atom) = 0.090
- relative energy among the computed polymorphs (meV per atom) = 0

Record 3
The following is a DFT calculation (PBE) of an optimized crystal structure of Ho2ZrPt.

Lattice parameters (Å, degrees): 3.5048 3.5048 7.7756 90.00 90.00 90.00
Last column: nearest neighbours and their distance in Å.
Sites, in units of the cell vectors:
Ho  0.0000  0.0000  0.2152  4 Pt 2.99, 4 Zr 3.32, 1 Ho 3.35
Ho  0.0000  0.0000  0.7848  4 Pt 2.99, 4 Zr 3.32, 1 Ho 3.35
Zr  0.5000  0.5000  0.5000  8 Ho 3.32, 4 Zr 3.50
Pt  0.5000  0.5000  0.0000  8 Ho 2.99

Calculated values
- symmetry = P4/mmm
- energy of formation from the pure elements (eV per atom) = -0.568

Record 4
The following is a DFT calculation (PBE) of an optimized crystal structure of YMg8Ag2.

Lattice parameters (Å, degrees): 7.4881 7.4881 5.3115 99.16 99.16 113.70
Last column: nearest neighbours and their distance in Å.
Sites, in units of the cell vectors:
Y  0.0000  0.0000  0.0000  12 Mg 3.19-3.46
Mg  0.0786  0.3210  0.5963  2 Ag 2.80-2.81, 2 Mg 3.04-3.13
Mg  0.2576  0.7424  0.0000  2 Ag 2.73
Mg  0.3210  0.0786  0.5963  2 Ag 2.80-2.81, 2 Mg 3.04-3.13
Mg  0.4068  0.4068  0.2030  2 Ag 2.86, 2 Mg 2.98-3.08, 1 Y 3.19
Mg  0.5932  0.5932  0.7970  2 Ag 2.86, 2 Mg 2.98-3.08, 1 Y 3.19
Mg  0.6790  0.9214  0.4037  2 Ag 2.80-2.81, 2 Mg 3.04-3.13
Mg  0.7424  0.2576  0.0000  2 Ag 2.73
Mg  0.9214  0.6790  0.4037  2 Ag 2.80-2.81, 2 Mg 3.04-3.13
Ag  0.3075  0.6925  0.5000  8 Mg 2.73-2.86
Ag  0.6925  0.3075  0.5000  8 Mg 2.73-2.86

Calculated values
- symmetry = C2/m
- energy of formation from the pure elements (eV per atom) = -0.019

Record 5
The following is a DFT calculation (PBE) of an optimized crystal structure of TlCuP2O8.

Lattice parameters (Å, degrees): 8.3472 8.3472 8.3472 33.00 33.00 33.00
Last column: nearest neighbours and their distance in Å.
Sites, in units of the cell vectors:
Tl  0.0000  0.0000  0.0000  6 O 2.84
Cu  0.5000  0.5000  0.5000  6 O 1.96
P  0.2357  0.2357  0.2357  4 O 1.55-1.57
P  0.7643  0.7643  0.7643  4 O 1.55-1.57
O  0.1067  0.4814  0.7605  1 P 1.55
O  0.2395  0.8933  0.5186  1 P 1.55
O  0.3020  0.3020  0.3020  1 P 1.57
O  0.4814  0.7605  0.1067  1 P 1.55
O  0.5186  0.2395  0.8933  1 P 1.55
O  0.6980  0.6980  0.6980  1 P 1.57
O  0.7605  0.1067  0.4814  1 P 1.55
O  0.8933  0.5186  0.2395  1 P 1.55

Calculated values
- symmetry = R-3
- formation energy (no corrections) (eV per atom) = -1.32

Record 6
The following is a DFT calculation (PBE) of an optimized crystal structure of PmMgUO6.

Lattice parameters (Å, degrees): 5.4593 5.4593 10.0464 90.00 90.00 120.00
Last column: nearest neighbours and their distance in Å.
Sites, in units of the cell vectors:
Pm  0.0000  0.0000  0.0000  6 O 2.38
Pm  0.0000  0.0000  0.5000  6 O 2.38
Mg  0.3333  0.6667  0.2500  6 O 2.11
Mg  0.6667  0.3333  0.7500  6 O 2.11
U  0.3333  0.6667  0.7500  6 O 2.07
U  0.6667  0.3333  0.2500  6 O 2.07
O  0.0057  0.3560  0.6396  1 U 2.07, 1 Mg 2.11
O  0.0057  0.6497  0.8604  1 U 2.07, 1 Mg 2.11
O  0.3503  0.3560  0.8604  1 U 2.07, 1 Mg 2.11
O  0.3503  0.9943  0.6396  1 U 2.07, 1 Mg 2.11
O  0.3560  0.0057  0.1396  1 U 2.07, 1 Mg 2.11
O  0.3560  0.3503  0.3604  1 U 2.07, 1 Mg 2.11
O  0.6440  0.6497  0.6396  1 U 2.07, 1 Mg 2.11
O  0.6440  0.9943  0.8604  1 U 2.07, 1 Mg 2.11
O  0.6497  0.0057  0.3604  1 U 2.07, 1 Mg 2.11
O  0.6497  0.6440  0.1396  1 U 2.07, 1 Mg 2.11
O  0.9943  0.3503  0.1396  1 U 2.07, 1 Mg 2.11
O  0.9943  0.6440  0.3604  1 U 2.07, 1 Mg 2.11

Calculated values
- symmetry = P-31c
- formation energy (no corrections) (eV per atom) = -2.86

Number 1: calculated total energy -6.49 eV/atom, ρ 8.00 Mg/m³. Number 2: calculated total energy -6.12 eV/atom, ρ 7.24 Mg/m³. Number 3: calculated total energy -6.50 eV/atom, ρ 10.71 Mg/m³. Number 4: calculated total energy -2.28 eV/atom, ρ 3.18 Mg/m³. Number 5: calculated total energy -6.07 eV/atom, ρ 4.95 Mg/m³. Number 6: calculated total energy -8.12 eV/atom, ρ 6.45 Mg/m³.